Record 1
Below is an optimized crystal structure of Tm4Tl3Tc, with properties calculated at the PBE level.

a b c (Å): 3.554 3.554 15.636
angles (deg): 90.00 90.00 90.00
Last column: magnetic moment on the atom in μB.
Element x y z (fractional)
Tm (0.000, 0.000, 0.366)  0.10
Tm (0.000, 0.000, 0.634)  0.10
Tm (0.000, 0.000, 0.900)  -0.01
Tm (0.000, 0.000, 0.100)  -0.01
Tl (0.500, 0.500, 0.500)  0.00
Tl (0.500, 0.500, 0.766)  0.00
Tl (0.500, 0.500, 0.234)  0.00
Tc (0.500, 0.500, 0.000)  0.00

Output
* DFT total energy: -4.687 eV/atom
* E_form: -0.269 eV per atom

=====

Record 2
Below is an optimized crystal structure of Tl2PdC, with properties calculated at the PBE level.

a b c (Å): 6.251 6.251 6.433
angles (deg): 60.93 60.93 90.00
Element x y z (fractional)
Pd (0.000, 0.000, 0.000)
Pd (0.750, 0.250, 0.500)
C (0.250, 0.750, 0.500)
C (0.500, 0.500, 0.000)
Tl (0.875, 0.810, 0.750)
Tl (0.375, 0.440, 0.750)
Tl (0.560, 0.125, 0.250)
Tl (0.190, 0.625, 0.250)

Output
* DFT total energy: -3.690 eV/atom
* E_form: 1.097 eV per atom
* E above lowest polymorph: 0.0 meV per atom

=====

Record 3
Below is an optimized crystal structure of BaLaGa4, with properties calculated at the PBE level.

a b c (Å): 5.842 5.842 5.842
angles (deg): 60.00 60.00 60.00
Element x y z (fractional)
Ga (0.626, 0.626, 0.123)
Ga (0.626, 0.626, 0.626)
Ga (0.123, 0.626, 0.626)
Ga (0.626, 0.123, 0.626)
La (0.000, 0.000, 0.000)
Ba (0.250, 0.250, 0.250)

Output
* DFT total energy: -3.609 eV/atom
* E_form: -0.449 eV per atom
* E above lowest polymorph: 94.6 meV per atom

=====

Record 4
Below is an optimized crystal structure of Er2ThPb, with properties calculated at the PBE level.

a b c (Å): 4.750 4.934 4.934
angles (deg): 90.00 90.00 90.00
Element x y z (fractional)
Pb (0.500, 0.500, 0.500)
Er (0.000, 0.000, 0.500)
Er (0.000, 0.500, 0.000)
Th (0.500, 0.000, 0.000)

Output
* DFT total energy: -5.280 eV/atom
* E_form: -0.217 eV per atom
* E above lowest polymorph: 0.0 meV per atom

=====

Record 5
Below is an optimized crystal structure of Li3Hg4Bi, with properties calculated at the PBE level.

a b c (Å): 4.712 4.681 10.832
angles (deg): 130.67 102.56 90.00
Element x y z (fractional)
Li (0.000, 0.500, 0.000)
Li (0.253, 0.256, 0.505)
Li (0.747, 0.744, 0.495)
Hg (0.357, 0.075, 0.715)
Hg (0.858, 0.585, 0.715)
Hg (0.643, 0.925, 0.285)
Hg (0.142, 0.415, 0.285)
Bi (0.500, 0.000, 0.000)

Output
* DFT total energy: -1.626 eV/atom
* E_form: -0.272 eV per atom
* E above lowest polymorph: 0.0 meV per atom

=====

Record 6
Below is an optimized crystal structure of YMnP2Rh, with properties calculated at the PBE level.

a b c (Å): 5.061 4.619 5.061
angles (deg): 90.00 90.00 90.00
Last column: magnetic moment on the atom in μB.
Element x y z (fractional)
P (0.500, 0.000, 0.000)  0.02
P (0.000, 0.000, 0.500)  0.02
Rh (0.500, 0.500, 0.500)  -0.23
Y (0.000, 0.000, 0.000)  -0.01
Mn (0.000, 0.500, 0.000)  0.00

Output
* DFT total energy: -5.035 eV/atom
* E_form: 1.726 eV per atom

=====

Record 7
Below is an optimized crystal structure of Y6P2HS3, with properties calculated at the PBE level.

a b c (Å): 3.942 7.808 8.747
angles (deg): 103.77 103.02 90.00
Element x y z (fractional)
H (0.500, 0.000, 0.000)
Y (0.667, 0.086, 0.333)
Y (0.669, 0.578, 0.338)
Y (0.001, 0.748, 0.002)
Y (0.331, 0.422, 0.662)
Y (0.999, 0.252, 0.998)
Y (0.333, 0.914, 0.667)
S (0.168, 0.834, 0.335)
S (0.500, 0.500, 0.000)
S (0.832, 0.166, 0.665)
P (0.837, 0.672, 0.673)
P (0.163, 0.328, 0.327)

Output
* DFT total energy: -7.052 eV/atom

=====

Record 8
Below is an optimized crystal structure of Ba6Bi2SbAs, with properties calculated at the PBE level.

a b c (Å): 8.536 9.234 12.226
angles (deg): 90.00 89.76 90.00
Element x y z (fractional)
Ba (0.360, 0.932, 0.743)
Ba (0.860, 0.568, 0.243)
Ba (0.177, 0.195, 0.070)
Ba (0.691, 0.318, 0.934)
Ba (0.140, 0.432, 0.757)
Ba (0.809, 0.818, 0.566)
Ba (0.309, 0.682, 0.066)
Ba (0.640, 0.068, 0.257)
Ba (0.191, 0.182, 0.434)
Ba (0.323, 0.695, 0.430)
Ba (0.823, 0.805, 0.930)
Ba (0.677, 0.305, 0.570)
Bi (0.971, 0.082, 0.749)
Bi (0.529, 0.582, 0.751)
Bi (0.029, 0.918, 0.251)
Bi (0.471, 0.418, 0.249)
As (0.000, 0.500, 0.000)
As (0.500, 0.000, 0.500)
Sb (0.000, 0.500, 0.500)
Sb (0.500, 0.000, 0.000)

Output
* formation energy (no corrections): -0.968 eV per atom
* DFT total energy: -3.775 eV/atom

=====

Record 9
Below is an optimized crystal structure of Ac8Ge3IrI4, with properties calculated at the PBE level.

a b c (Å): 9.228 9.738 9.228
angles (deg): 118.28 120.00 90.00
Element x y z (fractional)
I (0.500, 0.000, 0.500)
I (0.500, 0.000, 0.000)
I (0.000, 0.000, 0.500)
I (0.000, 0.000, 0.000)
Ac (0.224, 0.695, 0.971)
Ac (0.776, 0.305, 0.552)
Ac (0.224, 0.695, 0.448)
Ac (0.735, 0.705, 0.470)
Ac (0.253, 0.305, 0.029)
Ac (0.265, 0.295, 0.530)
Ac (0.747, 0.695, 0.971)
Ac (0.776, 0.305, 0.029)
Ge (0.500, 0.500, 0.000)
Ge (0.500, 0.500, 0.500)
Ge (0.000, 0.500, 0.500)
Ir (0.000, 0.500, 0.000)

Output
* formation energy (no corrections): -0.985 eV per atom
* DFT total energy: -4.846 eV/atom

=====

Record 10
Below is an optimized crystal structure of Rb3Dy3MnS8, with properties calculated at the PBE level.

a b c (Å): 7.864 7.865 9.049
angles (deg): 115.77 90.00 120.00
Last column: magnetic moment on the atom in μB.
Element x y z (fractional)
S (0.792, 0.584, 0.324)  -0.04
S (0.208, 0.416, 0.676)  -0.04
S (0.269, 0.538, 0.307)  0.00
S (0.731, 0.462, 0.693)  0.00
S (0.760, 0.968, 0.676)  -0.04
S (0.208, 0.968, 0.676)  -0.04
S (0.792, 0.032, 0.324)  -0.04
S (0.240, 0.032, 0.324)  -0.04
Rb (0.500, 0.500, 0.000)  0.00
Rb (0.000, 0.500, 0.000)  0.00
Rb (0.000, 0.000, 0.000)  0.00
Mn (0.000, 0.000, 0.500)  3.10
Dy (0.500, 0.000, 0.500)  0.02
Dy (0.500, 0.500, 0.500)  0.02
Dy (0.000, 0.500, 0.500)  0.02

Output
* formation energy (no corrections): -1.530 eV per atom
* DFT total energy: -5.457 eV/atom

=====

Record 11
Below is an optimized crystal structure of Cu2TcBr, with properties calculated at the PBE level.

a b c (Å): 2.945 2.761 7.988
angles (deg): 89.84 90.00 90.00
Element x y z (fractional)
Cu (0.000, 0.747, 0.467)
Cu (0.000, 0.753, 0.033)
Tc (0.500, 0.250, 0.250)
Br (0.500, 0.750, 0.750)

Output
* formation energy (no corrections): 0.513 eV per atom
* DFT total energy: -4.545 eV/atom
* E above lowest polymorph: 0.0 meV per atom

=====

Record 12
Below is an optimized crystal structure of LiAg3Bi, with properties calculated at the PBE level.

a b c (Å): 4.684 4.684 4.684
angles (deg): 90.00 90.00 90.00
Element x y z (fractional)
Bi (0.500, 0.500, 0.500)
Li (0.000, 0.000, 0.000)
Ag (0.000, 0.000, 0.500)
Ag (0.500, 0.000, 0.000)
Ag (0.000, 0.500, 0.000)

Output
* DFT total energy: -2.607 eV/atom
* E_form: 0.262 eV per atom
* E above lowest polymorph: 384.7 meV per atom